1.
Mn2CrAs4 after structural relaxation, computed with PBE.

Computed properties:
uncorrected energy: -6.84 eV per atom
spin magnetization: 0.6456 μB/atom
SG: No. 12
ΔE_f: -0.187 eV/atom

Lattice parameters (Å, degrees): 3.207 6.172 6.358 115.77 104.61 90.00
Positions (direct):
As1 0.902 0.553 0.805
As2 0.098 0.447 0.195
As3 0.356 0.035 0.711
As4 0.644 0.965 0.289
Mn1 0.254 0.308 0.508
Mn2 0.746 0.692 0.492
Cr1 0.000 0.000 0.000

=====

2.
MnCrAs after structural relaxation, computed with PBE.

Computed properties:
uncorrected energy: -7.90 eV per atom
spin magnetization: 0.0000 μB/atom
SG: No. 216
ΔE_f: -0.091 eV/atom

Lattice parameters (Å, degrees): 3.923 3.923 3.923 60.00 60.00 60.00
Positions (direct):
Mn1 0.750 0.750 0.750
Cr1 0.500 0.500 0.500
As1 0.000 0.000 0.000

=====

3.
Mn4CrAs after structural relaxation, computed with PBE.

Computed properties:
uncorrected energy: -8.20 eV per atom
spin magnetization: 0.3516 μB/atom
SG: No. 216
ΔE_f: 0.291 eV/atom

Lattice parameters (Å, degrees): 4.713 4.713 4.713 60.00 60.00 60.00
Positions (direct):
Mn1 0.376 0.376 0.376
Mn2 0.376 0.872 0.376
Mn3 0.872 0.376 0.376
Mn4 0.376 0.376 0.872
As1 0.750 0.750 0.750
Cr1 0.000 0.000 0.000

=====

4.
MnCrAs after structural relaxation, computed with PBE.

Computed properties:
uncorrected energy: -7.73 eV per atom
spin magnetization: 0.0443 μB/atom
SG: No. 44
ΔE_f: 0.087 eV/atom

Lattice parameters (Å, degrees): 4.384 4.384 4.384 141.62 128.15 66.32
Positions (direct):
Mn1 0.667 0.667 0.000
As1 0.999 0.999 0.000
Cr1 0.334 0.334 0.000